No. 1
PaAl3Au3: optimized geometry, GGA-PBE.

Cell: 7.990 7.990 7.306 Å, 56.85 56.85 60.00°
Sites, in units of the cell vectors:
1 Al 0.790 0.099 0.701
2 Al 0.410 0.790 0.701
3 Al 0.099 0.410 0.701
4 Al 0.210 0.901 0.299
5 Al 0.590 0.210 0.299
6 Al 0.901 0.590 0.299
7 Pa 0.335 0.335 0.996
8 Pa 0.665 0.665 0.004
9 Au 0.084 0.742 0.749
10 Au 0.425 0.084 0.749
11 Au 0.575 0.916 0.251
12 Au 0.742 0.425 0.749
13 Au 0.258 0.575 0.251
14 Au 0.916 0.258 0.251

Computed properties:
calculated total energy = -4.5999 eV per atom
formation energy from the elements = -0.23 eV per atom
magnetic moment = 0.00 μB/cell

No. 2
LiTa2Pt2: optimized geometry, GGA-PBE.

Cell: 4.780 4.780 5.772 Å, 65.54 65.54 90.00°
Sites, in units of the cell vectors:
1 Ta 0.356 0.356 0.288
2 Ta 0.644 0.644 0.712
3 Pt 0.750 0.250 0.500
4 Pt 0.250 0.750 0.500
5 Li 0.000 0.000 0.000

Computed properties:
calculated total energy = -7.4140 eV per atom
formation energy from the elements = 0.13 eV per atom
magnetic moment = 0.00 μB/cell

No. 3
TlAsBr: optimized geometry, GGA-PBE.

Cell: 5.072 5.072 5.072 Å, 60.00 60.00 60.00°
Sites, in units of the cell vectors:
1 As 0.000 0.000 0.000
2 Tl 0.750 0.750 0.750
3 Br 0.500 0.500 0.500

Computed properties:
calculated total energy = -2.5681 eV per atom
magnetic moment = 0.00 μB/cell
raw formation energy = 0.98 eV per formula unit

No. 4
SiSe5: optimized geometry, GGA-PBE.

Cell: 6.493 6.493 3.558 Å, 90.00 90.00 120.00°
Sites, in units of the cell vectors:
1 Se 0.000 0.705 0.000
2 Se 0.667 0.333 0.500
3 Se 0.295 0.295 0.000
4 Se 0.333 0.667 0.500
5 Se 0.705 0.000 0.000
6 Si 0.000 0.000 0.500

Computed properties:
calculated total energy = -3.4901 eV per atom
magnetic moment = 0.00 μB/cell
raw formation energy = 1.91 eV per formula unit

No. 5
Hf4Pd: optimized geometry, GGA-PBE.

Cell: 4.993 4.993 4.993 Å, 90.00 90.00 90.00°
Sites, in units of the cell vectors:
1 Hf 0.500 0.500 0.000
2 Hf 0.500 0.000 0.500
3 Hf 0.000 0.500 0.500
4 Hf 0.000 0.000 0.000
5 Pd 0.500 0.500 0.500

Computed properties:
calculated total energy = -8.4704 eV per atom
formation energy from the elements = 0.53 eV per atom
magnetic moment = 0.00 μB/cell

No. 6
TaSnPt3: optimized geometry, GGA-PBE.

Cell: 4.935 4.935 4.935 Å, 90.00 90.00 90.00°
Sites, in units of the cell vectors:
1 Pt 0.000 0.500 0.000
2 Pt 0.000 0.000 0.500
3 Pt 0.500 0.000 0.000
4 Sn 0.500 0.500 0.500
5 Ta 0.000 0.000 0.000

Computed properties:
calculated total energy = -6.2066 eV per atom
formation energy from the elements = 0.59 eV per atom
magnetic moment = 0.00 μB/cell

No. 7
GaBr3N: optimized geometry, GGA-PBE.

Cell: 10.963 10.963 6.429 Å, 76.78 76.78 91.48°
Each line ends with the local moment (μB).
Sites, in units of the cell vectors:
1 Ga 0.768 0.232 0.750  0.00
2 Ga 0.232 0.768 0.750  0.00
3 Ga 0.232 0.768 0.250  0.00
4 Ga 0.768 0.232 0.250  0.00
5 N 0.648 0.758 0.925  1.93
6 N 0.242 0.352 0.575  1.93
7 N 0.352 0.242 0.075  1.93
8 N 0.758 0.648 0.425  1.93
9 Br 0.909 0.370 0.391  0.02
10 Br 0.588 0.275 0.554  0.01
11 Br 0.192 0.949 0.445  0.01
12 Br 0.949 0.192 0.945  0.01
13 Br 0.630 0.091 0.109  0.02
14 Br 0.275 0.588 0.054  0.01
15 Br 0.091 0.630 0.609  0.02
16 Br 0.370 0.909 0.891  0.02
17 Br 0.412 0.725 0.446  0.01
18 Br 0.808 0.051 0.555  0.01
19 Br 0.725 0.412 0.946  0.01
20 Br 0.051 0.808 0.055  0.01

Computed properties:
calculated total energy = -2.7944 eV per atom
magnetic moment = 11.98 μB/cell
raw formation energy = 2.40 eV per formula unit

No. 8
SrLiZnOs: optimized geometry, GGA-PBE.

Cell: 4.355 4.359 5.838 Å, 111.78 90.06 119.94°
Sites, in units of the cell vectors:
1 Sr 0.030 0.383 0.229
2 Li 0.227 0.775 0.818
3 Os 0.500 0.321 0.637
4 Zn 0.829 0.979 0.625

Computed properties:
calculated total energy = -3.7419 eV per atom
formation energy from the elements = 0.28 eV per atom
magnetic moment = 0.00 μB/cell

- Which of these has the lowest calculated total energy?
  Hf4Pd